Record 1
AcPrPdRh after structural relaxation, computed with PBE.

Structure (CIF):
```
data_AcPrPdRh
_chemical_formula_sum 'Ac2 Pr2 Pd2 Rh2'
_cell_length_a 4.498
_cell_length_b 4.059
_cell_length_c 11.275
_cell_angle_alpha 90.00
_cell_angle_beta 90.00
_cell_angle_gamma 90.00
_symmetry_space_group_name_H-M 'A m m 2'
_symmetry_Int_Tables_number 38
_symmetry_space_group_name_Hall 'A 2 -2'
loop_
_atom_site_label
_atom_site_fract_x
_atom_site_fract_y
_atom_site_fract_z
Ac1 0.000 0.000 0.000
Pr1 0.500 0.000 0.725
Pd1 0.500 0.000 0.441
Rh1 0.000 0.000 0.266
```

Properties
Formation energy, eV/atom: -0.732
ΔE to the lowest computed polymorph, eV/atom: 0.000

Record 2
AcPrSb2Pd2 after structural relaxation, computed with PBE.

Structure (CIF):
```
data_AcPrSb2Pd2
_chemical_formula_sum 'Ac1 Pr1 Sb2 Pd2'
_cell_length_a 4.6696
_cell_length_b 4.6696
_cell_length_c 8.3519
_cell_angle_alpha 90.00
_cell_angle_beta 90.00
_cell_angle_gamma 120.00
_symmetry_space_group_name_H-M 'P -3 m 1'
_symmetry_Int_Tables_number 164
_symmetry_space_group_name_Hall '-P 3 2"'
loop_
_atom_site_label
_atom_site_fract_x
_atom_site_fract_y
_atom_site_fract_z
Ac1 0.0000 0.0000 0.0000
Pr1 0.0000 0.0000 0.5000
Sb1 0.3333 0.6667 0.2624
Pd1 0.3333 0.6667 0.7363
```

Properties
Formation energy (no corrections), eV/atom: -1.09

Record 3
AcPrSbPd after structural relaxation, computed with PBE.

Structure (CIF):
```
data_AcPrSbPd
_chemical_formula_sum 'Ac4 Pr4 Sb4 Pd4'
_cell_length_a 7.766
_cell_length_b 7.766
_cell_length_c 7.766
_cell_angle_alpha 90.00
_cell_angle_beta 90.00
_cell_angle_gamma 90.00
_symmetry_space_group_name_H-M 'F -4 3 m'
_symmetry_Int_Tables_number 216
_symmetry_space_group_name_Hall 'F -4 2 3'
loop_
_atom_site_label
_atom_site_fract_x
_atom_site_fract_y
_atom_site_fract_z
Ac1 0.000 0.000 0.000
Pr1 0.000 0.000 0.500
Sb1 0.250 0.250 0.750
Pd1 0.250 0.250 0.250
```

Properties
Formation energy (no corrections), eV/atom: -0.74

Record 4
AcPrSiPd after structural relaxation, computed with PBE.

Structure (CIF):
```
data_AcPrSiPd
_chemical_formula_sum 'Ac4 Pr4 Si4 Pd4'
_cell_length_a 7.520
_cell_length_b 7.520
_cell_length_c 7.520
_cell_angle_alpha 90.00
_cell_angle_beta 90.00
_cell_angle_gamma 90.00
_symmetry_space_group_name_H-M 'F -4 3 m'
_symmetry_Int_Tables_number 216
_symmetry_space_group_name_Hall 'F -4 2 3'
loop_
_atom_site_label
_atom_site_fract_x
_atom_site_fract_y
_atom_site_fract_z
Ac1 0.000 0.000 0.000
Pr1 0.000 0.000 0.500
Si1 0.250 0.250 0.250
Pd1 0.250 0.250 0.750
```

Properties
Formation energy (no corrections), eV/atom: -0.56

| no. | total magnetization (μB per formula unit) | density (Mg/m³) |
| --- | --- | --- |
| 1 | 0.00 | 9.312 |
| 2 | 0.00 | 8.679 |
| 3 | 0.97 | 8.452 |
| 4 | 0.00 | 7.848 |